{
  "formula": "Rb3La2HoO6",
  "functional": "PBE",
  "state": "optimized geometry",
  "sg": "C2/m (12)",
  "formation_energy_uncorrected_mev_per_atom": -2640,
  "cell": [[6.348, -0.002, 0.002], [-3.174, 5.497, 0.002], [-1.057, -1.830, 6.585]],
  "species": ["O", "O", "O", "O", "O", "O", "Rb", "Rb", "Rb", "La", "La", "Ho"],
  "frac_coords": [[0.378, 0.060, 0.179], [0.741, 0.741, 0.178], [0.940, 0.622, 0.821], [0.259, 0.259, 0.822], [0.622, 0.940, 0.821], [0.060, 0.378, 0.179], [0.164, 0.836, 0.500], [0.836, 0.164, 0.500], [0.500, 0.500, 0.500], [0.333, 0.667, 0.000], [0.667, 0.333, 0.000], [0.000, 0.000, 0.000]]
}

***

{
  "formula": "La2HoRhO6",
  "functional": "PBE",
  "state": "optimized geometry",
  "sg": "P2_1/c (14)",
  "formation_energy_uncorrected_mev_per_atom": -2788,
  "cell": [[-3.327, 4.282, 1.860], [-0.238, -2.523, 5.382], [6.775, 4.071, 2.209]],
  "species": ["O", "O", "O", "O", "O", "O", "O", "O", "O", "O", "O", "O", "La", "La", "La", "La", "Ho", "Ho", "Rh", "Rh"],
  "frac_coords": [[0.189, 0.208, 0.058], [0.612, 0.042, 0.260], [0.811, 0.792, 0.942], [0.311, 0.708, 0.442], [0.207, 0.196, 0.442], [0.388, 0.958, 0.740], [0.707, 0.304, 0.942], [0.293, 0.696, 0.058], [0.112, 0.458, 0.760], [0.793, 0.804, 0.558], [0.888, 0.542, 0.240], [0.689, 0.292, 0.558], [0.982, 0.056, 0.751], [0.482, 0.444, 0.251], [0.518, 0.556, 0.749], [0.018, 0.944, 0.249], [0.500, 0.000, 0.000], [0.000, 0.500, 0.500], [0.500, 0.000, 0.500], [0.000, 0.500, 0.000]]
}

***

{
  "formula": "LaHo2RuO8",
  "functional": "PBE",
  "state": "optimized geometry",
  "sg": "P2/m (10)",
  "formation_energy_uncorrected_mev_per_atom": -2397,
  "cell": [[5.054, -0.004, -0.003], [0.030, 5.053, -0.006], [0.004, 0.008, 6.916]],
  "species": ["Ho", "Ho", "O", "O", "O", "O", "O", "O", "O", "O", "Ru", "La"],
  "frac_coords": [[0.500, 0.500, 0.751], [0.500, 0.500, 0.249], [0.813, 0.186, 0.200], [0.813, 0.186, 0.800], [0.732, 0.731, 0.000], [0.317, 0.318, 0.500], [0.187, 0.814, 0.200], [0.268, 0.269, 0.000], [0.187, 0.814, 0.800], [0.683, 0.682, 0.500], [0.000, 0.000, 0.000], [0.000, 0.000, 0.500]]
}

***

{
  "formula": "LaHoS2O8",
  "functional": "PBE",
  "state": "optimized geometry",
  "sg": "P-3m1 (164)",
  "formation_energy_uncorrected_mev_per_atom": -1889,
  "cell": [[-2.971, -4.607, 1.554], [4.558, -0.554, -3.374], [3.843, -0.689, 5.304]],
  "species": ["S", "S", "O", "O", "O", "O", "O", "O", "O", "O", "La", "Ho"],
  "frac_coords": [[0.333, 0.667, 0.714], [0.667, 0.333, 0.286], [0.333, 0.667, 0.491], [0.812, 0.625, 0.213], [0.812, 0.188, 0.213], [0.188, 0.375, 0.787], [0.375, 0.188, 0.213], [0.188, 0.812, 0.787], [0.625, 0.812, 0.787], [0.667, 0.333, 0.509], [0.000, 0.000, 0.500], [0.000, 0.000, 0.000]]
}

***

{
  "formula": "LaHoSO2",
  "functional": "PBE",
  "state": "optimized geometry",
  "sg": "P2_1/m (11)",
  "formation_energy_uncorrected_mev_per_atom": -3131,
  "cell": [[4.087, 0.000, 0.000], [0.000, 6.526, -0.506], [0.000, -2.006, 7.445]],
  "species": ["O", "O", "O", "O", "La", "La", "Ho", "Ho", "S", "S"],
  "frac_coords": [[0.250, 0.485, 0.130], [0.750, 0.515, 0.870], [0.750, 0.521, 0.391], [0.250, 0.479, 0.609], [0.750, 0.301, 0.067], [0.250, 0.699, 0.933], [0.750, 0.322, 0.573], [0.250, 0.678, 0.427], [0.250, 0.043, 0.749], [0.750, 0.957, 0.251]]
}

***

{
  "formula": "LaHoSbO2",
  "functional": "PBE",
  "state": "optimized geometry",
  "sg": "I4mm (107)",
  "formation_energy_uncorrected_mev_per_atom": -2700,
  "cell": [[-2.714, -2.739, 0.822], [2.491, -2.822, -1.174], [2.556, 2.277, 6.567]],
  "species": ["Ho", "O", "O", "Sb", "La"],
  "frac_coords": [[0.167, 0.167, 0.334], [0.244, 0.744, 0.488], [0.744, 0.244, 0.488], [0.507, 0.507, 0.014], [0.838, 0.838, 0.676]]
}

***

no.,magnetization (μB/cell)
1,0.0
2,0.0
3,1.1
4,0.1
5,0.0
6,0.0